Record 1
Below is crystalline PuAgAsAu at its relaxed geometry, with properties calculated at the PBE level.

Geometry as POSCAR:
```
PuAgAsAu
1.0
4.908 0.000 0.000
2.454 4.250 0.000
2.454 1.417 4.007
As Au Ag Pu
1 1 1 1
Direct
0.750 0.750 0.750 As
0.250 0.250 0.250 Au
0.500 0.500 0.500 Ag
0.000 0.000 0.000 Pu
```

- magnetization (Bohr magnetons per cell) = 5.203
- crystal system = cubic
- calculated density (kg/m3) = 12393
- DFT formation energy (eV/atom) = -0.372

=====

Record 2
Below is crystalline CaLaOsO6 at its relaxed geometry, with properties calculated at the PBE level.

Geometry as POSCAR:
```
CaLaOsO6
1.0
-3.626 0.640 4.167
-4.654 -3.041 0.128
2.389 -3.546 2.624
Ca La Os O
1 1 1 6
Direct
0.667 0.667 0.500 Ca
0.000 0.000 0.000 La
0.333 0.333 0.500 Os
0.055 0.328 0.282 O
0.328 0.055 0.718 O
0.618 0.328 0.718 O
0.054 0.618 0.718 O
0.328 0.618 0.282 O
0.618 0.055 0.282 O
```

- magnetization (Bohr magnetons per cell) = 1.020
- crystal system = trigonal
- ΔE_f (raw) (eV per atom) = -2.136
- calculated density (kg/m3) = 5750